[1]
First-principles (PBE) data for crystalline Sc5Zn4Pd at its relaxed geometry, as listed in Alexandria.

Summary:
**Total magnetic moment**: 0.0 μB/f.u.
**Crystal system**: tetragonal
**Formation energy from the elements**: -0.482 eV per atom

Unit cell a=3.3486 b=3.3486 c=16.6198 alpha=90.00 beta=90.00 gamma=90.00
Sites, in units of the cell vectors:
Sc 0.0000 0.0000 0.0000
Sc 0.0000 0.0000 0.2017
Sc 0.0000 0.0000 0.4019
Sc 0.0000 0.0000 0.5981
Sc 0.0000 0.0000 0.7983
Zn 0.5000 0.5000 0.1013
Zn 0.5000 0.5000 0.3004
Zn 0.5000 0.5000 0.6996
Zn 0.5000 0.5000 0.8987
Pd 0.5000 0.5000 0.5000

***

[2]
First-principles (PBE) data for crystalline KCo2Hg at its relaxed geometry, as listed in Alexandria.

Summary:
**Total magnetic moment**: 3.4 μB/f.u.
**Crystal system**: tetragonal
**Formation energy from the elements**: 0.787 eV per atom

Unit cell a=3.5310 b=3.5310 c=7.2458 alpha=90.00 beta=90.00 gamma=90.00
Sites, in units of the cell vectors:
K 0.0000 0.0000 0.0000
Co 0.5000 0.5000 0.3501
Co 0.5000 0.5000 0.6499
Hg 0.0000 0.0000 0.5000

***

[3]
First-principles (PBE) data for crystalline SrBrO2 at its relaxed geometry, as listed in Alexandria.

Summary:
**Total magnetic moment**: 1.0 μB/f.u.
**Crystal system**: trigonal
**Formation energy from raw total energies**: -5.5 eV per formula unit

Unit cell a=6.6207 b=6.6207 c=6.6207 alpha=33.75 beta=33.75 gamma=33.75
Sites, in units of the cell vectors:
Sr 0.0000 0.0000 0.0000
Br 0.5000 0.5000 0.5000
O 0.3954 0.3954 0.3954
O 0.6046 0.6046 0.6046

***

[4]
First-principles (PBE) data for crystalline Mn4CrTc2 at its relaxed geometry, as listed in Alexandria.

Summary:
**Total magnetic moment**: 4.9 μB/f.u.
**Crystal system**: orthorhombic
**Formation energy from the elements**: 0.096 eV per atom

Unit cell a=4.6508 b=4.6508 c=4.8083 alpha=90.00 beta=90.00 gamma=119.50
Sites, in units of the cell vectors:
Mn 0.0000 0.5000 0.5000
Mn 0.1681 0.8319 0.0000
Mn 0.5000 0.0000 0.5000
Mn 0.8319 0.1681 0.0000
Cr 0.0000 0.0000 0.5000
Tc 0.5000 0.5000 0.2426
Tc 0.5000 0.5000 0.7574

***

[5]
First-principles (PBE) data for crystalline Ba2LaRh at its relaxed geometry, as listed in Alexandria.

Summary:
**Total magnetic moment**: 0.0 μB/f.u.
**Crystal system**: orthorhombic
**Formation energy from the elements**: -0.213 eV per atom

Unit cell a=7.2528 b=7.2528 c=7.2528 alpha=147.85 beta=126.23 gamma=64.04
Sites, in units of the cell vectors:
Ba 0.0000 0.0000 0.0000
Ba 0.6749 0.1749 0.5000
La 0.3480 0.3480 0.0000
Rh 0.2106 0.7106 0.5000

***

[6]
First-principles (PBE) data for crystalline Zr4CuAu at its relaxed geometry, as listed in Alexandria.

Summary:
**Total magnetic moment**: 0.0 μB/f.u.
**Crystal system**: cubic
**Formation energy from the elements**: 0.367 eV per atom

Unit cell a=5.6394 b=5.6394 c=5.6394 alpha=60.00 beta=60.00 gamma=60.00
Sites, in units of the cell vectors:
Zr 0.1250 0.1250 0.1250
Zr 0.1250 0.1250 0.6250
Zr 0.1250 0.6250 0.1250
Zr 0.6250 0.1250 0.1250
Cu 0.5000 0.5000 0.5000
Au 0.7500 0.7500 0.7500

***

Values for E_tot, Ha/atom, ordered as above
-0.1718 -0.1145 -0.1721 -0.3484 -0.1560 -0.2411